Entry 1:
## SmTh2CrN5 (GGA-PBE)

Data for a geometry-optimized SmTh2CrN5 structure.

Computed properties:
Energy = -8.95 eV per atom
Formation energy from raw total energies = -104.0 kJ per mole of atoms

Structure (POSCAR):
```
SmTh2CrN5
1.0
6.7549 0.0000 0.0000
0.0000 6.7549 0.0000
0.0000 0.0000 5.7431
Sm Th Cr N
2 4 2 10
Direct
0.0000 0.0000 0.0000
0.5000 0.5000 0.0000
0.1702 0.3298 0.5000
0.3298 0.8298 0.5000
0.6702 0.1702 0.5000
0.8298 0.6702 0.5000
0.0000 0.5000 0.0000
0.5000 0.0000 0.0000
0.0000 0.0000 0.5000
0.1398 0.6398 0.2265
0.1398 0.6398 0.7735
0.3602 0.1398 0.2265
0.3602 0.1398 0.7735
0.5000 0.5000 0.5000
0.6398 0.8602 0.2265
0.6398 0.8602 0.7735
0.8602 0.3602 0.2265
0.8602 0.3602 0.7735
```

---

Entry 2:
## AcPRhO (GGA-PBE)

Data for a geometry-optimized AcPRhO structure.

Computed properties:
Energy = -7.48 eV per atom
Formation energy from raw total energies = -195.4 kJ per mole of atoms

Structure (POSCAR):
```
AcPRhO
1.0
4.1525 0.0000 0.0000
0.0000 4.1525 0.0000
0.0000 0.0000 8.7913
Ac P Rh O
2 2 2 2
Direct
0.2500 0.2500 0.1494
0.7500 0.7500 0.8506
0.2500 0.2500 0.6327
0.7500 0.7500 0.3673
0.2500 0.7500 0.5000
0.7500 0.2500 0.5000
0.2500 0.7500 0.0000
0.7500 0.2500 0.0000
```

---

Entry 3:
## Ti2ZnCr2 (GGA-PBE)

Data for a geometry-optimized Ti2ZnCr2 structure.

Computed properties:
Relative energy among the computed polymorphs = 305 meV per atom
Energy = -6.84 eV per atom
E_form = 0.4198 eV per atom

Structure (POSCAR):
```
Ti2ZnCr2
1.0
-1.6619 1.6619 7.0894
1.6619 -1.6619 7.0894
1.6619 1.6619 -7.0894
Ti Zn Cr
2 1 2
Direct
0.1082 0.1082 0.0000
0.8918 0.8918 0.0000
0.5000 0.5000 0.0000
0.2500 0.7500 0.5000
0.7500 0.2500 0.5000
```